1.
The following is a DFT calculation (SCAN) of a crystal of BaMgSbF7 relaxed with PBEsol.

Results
E_form (uncorrected): -3.319 eV/atom
SG: P2_1/c, No. 14

a = 5.5940 Å, b = 10.7112 Å, c = 9.7849 Å
α = 90.00°, β = 95.03°, γ = 90.00°
Element x y z (fractional)
Ba1 0.2407 0.1550 0.0337
Ba2 0.2407 0.3450 0.5337
Ba3 0.7593 0.6550 0.4663
Ba4 0.7593 0.8450 0.9663
Mg1 0.2065 0.6473 0.7947
Mg2 0.2065 0.8527 0.2947
Mg3 0.7935 0.1473 0.7053
Mg4 0.7935 0.3527 0.2053
Sb1 0.2871 0.5801 0.1427
Sb2 0.2871 0.9199 0.6427
Sb3 0.7129 0.0801 0.3573
Sb4 0.7129 0.4199 0.8573
F1 0.0200 0.6983 0.2308
F2 0.0200 0.8017 0.7308
F3 0.0884 0.1188 0.6104
F4 0.0884 0.3812 0.1104
F5 0.1168 0.5640 0.6240
F6 0.1168 0.9360 0.1240
F7 0.3436 0.7197 0.9709
F8 0.3436 0.7803 0.4709
F9 0.3593 0.0123 0.3687
F10 0.3593 0.4877 0.8687
F11 0.3727 0.5208 0.3429
F12 0.3727 0.9792 0.8429
F13 0.4758 0.7381 0.2263
F14 0.4758 0.7619 0.7263
F15 0.5242 0.2381 0.2737
F16 0.5242 0.2619 0.7737
F17 0.6273 0.0208 0.1571
F18 0.6273 0.4792 0.6571
F19 0.6407 0.5123 0.1313
F20 0.6407 0.9877 0.6313
F21 0.6564 0.2197 0.5291
F22 0.6564 0.2803 0.0291
F23 0.8832 0.0640 0.8760
F24 0.8832 0.4360 0.3760
F25 0.9116 0.6188 0.8896
F26 0.9116 0.8812 0.3896
F27 0.9800 0.1983 0.2692
F28 0.9800 0.3017 0.7692

***

2.
The following is a DFT calculation (SCAN) of a crystal of BaMgVF7 relaxed with PBEsol.

Results
E_form (uncorrected): -3.703 eV/atom
SG: P2_1/c, No. 14

a = 5.5430 Å, b = 9.8257 Å, c = 9.5472 Å
α = 90.00°, β = 92.95°, γ = 90.00°
Element x y z (fractional)
Ba1 0.2363 0.1798 0.0003
Ba2 0.2363 0.3202 0.5003
Ba3 0.7637 0.6798 0.4997
Ba4 0.7637 0.8202 0.9997
Mg1 0.1942 0.6049 0.8108
Mg2 0.1942 0.8951 0.3108
Mg3 0.8058 0.1049 0.6892
Mg4 0.8058 0.3951 0.1892
V1 0.3065 0.6128 0.1878
V2 0.3065 0.8872 0.6878
V3 0.6935 0.1128 0.3122
V4 0.6935 0.3872 0.8122
F1 0.0242 0.7134 0.2506
F2 0.0242 0.7866 0.7506
F3 0.1133 0.5415 0.6259
F4 0.1133 0.9585 0.1259
F5 0.1306 0.0498 0.6297
F6 0.1306 0.4502 0.1297
F7 0.2417 0.6911 0.0017
F8 0.2417 0.8089 0.5017
F9 0.3853 0.0523 0.3750
F10 0.3853 0.4477 0.8750
F11 0.3878 0.5439 0.3676
F12 0.3878 0.9561 0.8676
F13 0.4758 0.7190 0.7481
F14 0.4758 0.7810 0.2481
F15 0.5242 0.2190 0.7519
F16 0.5242 0.2810 0.2519
F17 0.6122 0.0439 0.1324
F18 0.6122 0.4561 0.6324
F19 0.6147 0.5523 0.1250
F20 0.6147 0.9477 0.6250
F21 0.7583 0.1911 0.4983
F22 0.7583 0.3089 0.9983
F23 0.8694 0.5498 0.8703
F24 0.8694 0.9502 0.3703
F25 0.8867 0.0415 0.8741
F26 0.8867 0.4585 0.3741
F27 0.9758 0.2134 0.2494
F28 0.9758 0.2866 0.7494

***

3.
The following is a DFT calculation (SCAN) of a crystal of BaMnF3 relaxed with PBEsol.

Results
E_form (uncorrected): -2.776 eV/atom
SG: Pm-3m, No. 221

a = 4.3079 Å, b = 4.3079 Å, c = 4.3079 Å
α = 90.00°, β = 90.00°, γ = 90.00°
Element x y z (fractional)
Ba1 0.0000 0.0000 0.0000
Mn1 0.5000 0.5000 0.5000
F1 0.0000 0.5000 0.5000
F2 0.5000 0.0000 0.5000
F3 0.5000 0.5000 0.0000

***

4.
The following is a DFT calculation (SCAN) of a crystal of Ba5Mn3O12F relaxed with PBEsol.

Results
E_form (uncorrected): -2.688 eV/atom
SG: P6_3/m, No. 176

a = 10.2543 Å, b = 10.2543 Å, c = 7.6651 Å
α = 90.00°, β = 90.00°, γ = 120.00°
Element x y z (fractional)
Ba1 0.0121 0.7740 0.2500
Ba2 0.2260 0.2381 0.2500
Ba3 0.2381 0.0121 0.7500
Ba4 0.3333 0.6667 0.5028
Ba5 0.3333 0.6667 0.9972
Ba6 0.6667 0.3333 0.0028
Ba7 0.6667 0.3333 0.4972
Ba8 0.7619 0.9879 0.2500
Ba9 0.7740 0.7619 0.7500
Ba10 0.9879 0.2260 0.7500
Mn1 0.0289 0.6268 0.7500
Mn2 0.3732 0.4022 0.7500
Mn3 0.4022 0.0289 0.2500
Mn4 0.5978 0.9711 0.7500
Mn5 0.6268 0.5978 0.2500
Mn6 0.9711 0.3732 0.2500
O1 0.0916 0.7425 0.5750
O2 0.0916 0.7425 0.9250
O3 0.1151 0.5225 0.7500
O4 0.1611 0.4763 0.2500
O5 0.2575 0.3491 0.5750
O6 0.2575 0.3491 0.9250
O7 0.3152 0.8389 0.2500
O8 0.3491 0.0916 0.0750
O9 0.3491 0.0916 0.4250
O10 0.4074 0.8849 0.7500
O11 0.4763 0.3152 0.7500
O12 0.4775 0.5926 0.7500
O13 0.5225 0.4074 0.2500
O14 0.5237 0.6848 0.2500
O15 0.5926 0.1151 0.2500
O16 0.6509 0.9084 0.5750
O17 0.6509 0.9084 0.9250
O18 0.6848 0.1611 0.7500
O19 0.7425 0.6509 0.0750
O20 0.7425 0.6509 0.4250
O21 0.8389 0.5237 0.7500
O22 0.8849 0.4775 0.2500
O23 0.9084 0.2575 0.0750
O24 0.9084 0.2575 0.4250
F1 0.0000 0.0000 0.0000
F2 0.0000 0.0000 0.5000

***

5.
The following is a DFT calculation (SCAN) of a crystal of BaTi2MnF relaxed with PBEsol.

Results
E_form (uncorrected): -0.235 eV/atom
SG: P4/mmm, No. 123

a = 4.1542 Å, b = 4.1542 Å, c = 7.0882 Å
α = 90.00°, β = 90.00°, γ = 90.00°
Element x y z (fractional)
Ba1 0.0000 0.0000 0.0000
Ti1 0.0000 0.5000 0.5000
Ti2 0.5000 0.0000 0.5000
Mn1 0.5000 0.5000 0.5000
F1 0.5000 0.5000 0.0000

***

6.
The following is a DFT calculation (SCAN) of a crystal of BaMoF7 relaxed with PBEsol.

Results
E_form (uncorrected): -3.086 eV/atom
SG: P2_1/c, No. 14

a = 5.4454 Å, b = 9.8678 Å, c = 10.1751 Å
α = 90.00°, β = 91.57°, γ = 90.00°
Element x y z (fractional)
Ba1 0.1980 0.1713 0.0086
Ba2 0.1980 0.3287 0.5086
Ba3 0.8020 0.6713 0.4914
Ba4 0.8020 0.8287 0.9914
Mo1 0.3274 0.6078 0.1836
Mo2 0.3274 0.8922 0.6836
Mo3 0.6726 0.1078 0.3164
Mo4 0.6726 0.3922 0.8164
F1 0.0388 0.6914 0.2408
F2 0.0388 0.8086 0.7408
F3 0.1168 0.5449 0.6156
F4 0.1168 0.9551 0.1156
F5 0.1750 0.0529 0.6292
F6 0.1750 0.4471 0.1292
F7 0.2626 0.6941 0.0178
F8 0.2626 0.8059 0.5178
F9 0.3787 0.0423 0.3790
F10 0.3787 0.4577 0.8790
F11 0.3889 0.5416 0.3589
F12 0.3889 0.9584 0.8589
F13 0.4817 0.2391 0.7638
F14 0.4817 0.2609 0.2638
F15 0.5183 0.7391 0.7362
F16 0.5183 0.7609 0.2362
F17 0.6111 0.0416 0.1411
F18 0.6111 0.4584 0.6411
F19 0.6213 0.5423 0.1210
F20 0.6213 0.9577 0.6210
F21 0.7374 0.1941 0.4822
F22 0.7374 0.3059 0.9822
F23 0.8250 0.5529 0.8708
F24 0.8250 0.9471 0.3708
F25 0.8832 0.0449 0.8844
F26 0.8832 0.4551 0.3844
F27 0.9612 0.1914 0.2592
F28 0.9612 0.3086 0.7592

***

7.
The following is a DFT calculation (SCAN) of a crystal of BaZnMoF7 relaxed with PBEsol.

Results
E_form (uncorrected): -3.024 eV/atom
SG: P2_1/c, No. 14

a = 5.6434 Å, b = 10.0209 Å, c = 9.7086 Å
α = 90.00°, β = 92.58°, γ = 90.00°
Element x y z (fractional)
Ba1 0.2382 0.1781 0.0032
Ba2 0.2382 0.3219 0.5032
Ba3 0.7618 0.6781 0.4968
Ba4 0.7618 0.8219 0.9968
Zn1 0.1873 0.6036 0.8090
Zn2 0.1873 0.8964 0.3090
Zn3 0.8127 0.1036 0.6910
Zn4 0.8127 0.3964 0.1910
Mo1 0.3052 0.6120 0.1846
Mo2 0.3052 0.8880 0.6846
Mo3 0.6948 0.1120 0.3154
Mo4 0.6948 0.3880 0.8154
F1 0.0079 0.7107 0.2474
F2 0.0079 0.7893 0.7474
F3 0.1003 0.5408 0.6265
F4 0.1003 0.9592 0.1265
F5 0.1381 0.0603 0.6219
F6 0.1381 0.4397 0.1219
F7 0.2352 0.6992 0.9939
F8 0.2352 0.8008 0.4939
F9 0.3744 0.0515 0.3809
F10 0.3744 0.4485 0.8809
F11 0.3983 0.5398 0.3723
F12 0.3983 0.9602 0.8723
F13 0.4773 0.7161 0.7483
F14 0.4773 0.7839 0.2483
F15 0.5227 0.2161 0.7517
F16 0.5227 0.2839 0.2517
F17 0.6017 0.0398 0.1277
F18 0.6017 0.4602 0.6277
F19 0.6256 0.5515 0.1191
F20 0.6256 0.9485 0.6191
F21 0.7648 0.1992 0.5061
F22 0.7648 0.3008 0.0061
F23 0.8619 0.5603 0.8781
F24 0.8619 0.9397 0.3781
F25 0.8997 0.0408 0.8735
F26 0.8997 0.4592 0.3735
F27 0.9921 0.2107 0.2526
F28 0.9921 0.2893 0.7526

***

8.
The following is a DFT calculation (SCAN) of a crystal of BaN2OF relaxed with PBEsol.

Results
E_form (uncorrected): 0.803 eV/atom
SG: P4/mmm, No. 123

a = 5.5781 Å, b = 5.5781 Å, c = 4.8789 Å
α = 90.00°, β = 90.00°, γ = 90.00°
Element x y z (fractional)
Ba1 0.0000 0.0000 0.0000
N1 0.0000 0.5000 0.0000
N2 0.5000 0.0000 0.0000
O1 0.5000 0.5000 0.5000
F1 0.0000 0.0000 0.5000

***

9.
The following is a DFT calculation (SCAN) of a crystal of BaNO2F relaxed with PBEsol.

Results
E_form (uncorrected): 0.438 eV/atom
SG: P4/mmm, No. 123

a = 4.9322 Å, b = 4.9322 Å, c = 5.8873 Å
α = 90.00°, β = 90.00°, γ = 90.00°
Element x y z (fractional)
Ba1 0.0000 0.0000 0.0000
N1 0.0000 0.0000 0.5000
O1 0.0000 0.5000 0.0000
O2 0.5000 0.0000 0.0000
F1 0.5000 0.5000 0.5000

***

10.
The following is a DFT calculation (SCAN) of a crystal of BaNO2F relaxed with PBEsol.

Results
E_form (uncorrected): -0.691 eV/atom
SG: P4/mmm, No. 123

a = 3.6846 Å, b = 3.6846 Å, c = 4.3921 Å
α = 90.00°, β = 90.00°, γ = 90.00°
Element x y z (fractional)
Ba1 0.0000 0.0000 0.0000
N1 0.5000 0.5000 0.5000
O1 0.0000 0.5000 0.5000
O2 0.5000 0.0000 0.5000
F1 0.5000 0.5000 0.0000

***

11.
The following is a DFT calculation (SCAN) of a crystal of BaN2OF relaxed with PBEsol.

Results
E_form (uncorrected): 0.220 eV/atom
SG: P4/mmm, No. 123

a = 3.5938 Å, b = 3.5938 Å, c = 5.0756 Å
α = 90.00°, β = 90.00°, γ = 90.00°
Element x y z (fractional)
Ba1 0.0000 0.0000 0.0000
N1 0.0000 0.5000 0.5000
N2 0.5000 0.0000 0.5000
O1 0.5000 0.5000 0.5000
F1 0.5000 0.5000 0.0000

***

12.
The following is a DFT calculation (SCAN) of a crystal of BaNOF2 relaxed with PBEsol.

Results
E_form (uncorrected): -1.153 eV/atom
SG: P4/mmm, No. 123

a = 4.2929 Å, b = 4.2929 Å, c = 3.4507 Å
α = 90.00°, β = 90.00°, γ = 90.00°
Element x y z (fractional)
Ba1 0.0000 0.0000 0.0000
N1 0.5000 0.5000 0.5000
O1 0.5000 0.5000 0.0000
F1 0.0000 0.5000 0.5000
F2 0.5000 0.0000 0.5000

***

13.
The following is a DFT calculation (SCAN) of a crystal of BaOsN2F relaxed with PBEsol.

Results
E_form (uncorrected): -0.897 eV/atom
SG: P4/mmm, No. 123

a = 3.7961 Å, b = 3.7961 Å, c = 5.4316 Å
α = 90.00°, β = 90.00°, γ = 90.00°
Element x y z (fractional)
Ba1 0.0000 0.0000 0.0000
Os1 0.5000 0.5000 0.5000
N1 0.0000 0.5000 0.5000
N2 0.5000 0.0000 0.5000
F1 0.5000 0.5000 0.0000

***

14.
The following is a DFT calculation (SCAN) of a crystal of BaPdN2F relaxed with PBEsol.

Results
E_form (uncorrected): 0.951 eV/atom
SG: P4/mmm, No. 123

a = 5.2250 Å, b = 5.2250 Å, c = 4.7899 Å
α = 90.00°, β = 90.00°, γ = 90.00°
Element x y z (fractional)
Ba1 0.0000 0.0000 0.0000
Pd1 0.5000 0.5000 0.5000
N1 0.0000 0.5000 0.0000
N2 0.5000 0.0000 0.0000
F1 0.0000 0.0000 0.5000

***

15.
The following is a DFT calculation (SCAN) of a crystal of BaSN2F relaxed with PBEsol.

Results
E_form (uncorrected): -0.355 eV/atom
SG: P4/mmm, No. 123

a = 3.6664 Å, b = 3.6664 Å, c = 5.0498 Å
α = 90.00°, β = 90.00°, γ = 90.00°
Element x y z (fractional)
Ba1 0.0000 0.0000 0.0000
S1 0.5000 0.5000 0.5000
N1 0.0000 0.5000 0.5000
N2 0.5000 0.0000 0.5000
F1 0.5000 0.5000 0.0000

***

16.
The following is a DFT calculation (SCAN) of a crystal of BaScN2F relaxed with PBEsol.

Results
E_form (uncorrected): -1.610 eV/atom
SG: P4/mmm, No. 123

a = 4.1633 Å, b = 4.1633 Å, c = 4.3634 Å
α = 90.00°, β = 90.00°, γ = 90.00°
Element x y z (fractional)
Ba1 0.0000 0.0000 0.0000
Sc1 0.5000 0.5000 0.5000
N1 0.0000 0.5000 0.5000
N2 0.5000 0.0000 0.5000
F1 0.5000 0.5000 0.0000

***

17.
The following is a DFT calculation (SCAN) of a crystal of BaSeN2F relaxed with PBEsol.

Results
E_form (uncorrected): 1.199 eV/atom
SG: P4/mmm, No. 123

a = 5.3014 Å, b = 5.3014 Å, c = 6.4745 Å
α = 90.00°, β = 90.00°, γ = 90.00°
Element x y z (fractional)
Ba1 0.0000 0.0000 0.0000
Se1 0.0000 0.0000 0.5000
N1 0.0000 0.5000 0.0000
N2 0.5000 0.0000 0.0000
F1 0.5000 0.5000 0.5000

***

18.
The following is a DFT calculation (SCAN) of a crystal of BaSiN2F relaxed with PBEsol.

Results
E_form (uncorrected): 1.189 eV/atom
SG: P4/mmm, No. 123

a = 4.6301 Å, b = 4.6301 Å, c = 4.7165 Å
α = 90.00°, β = 90.00°, γ = 90.00°
Element x y z (fractional)
Ba1 0.0000 0.0000 0.0000
Si1 0.5000 0.5000 0.5000
N1 0.0000 0.5000 0.0000
N2 0.5000 0.0000 0.0000
F1 0.0000 0.0000 0.5000

***

19.
The following is a DFT calculation (SCAN) of a crystal of BaSnNF2 relaxed with PBEsol.

Results
E_form (uncorrected): -0.890 eV/atom
SG: P4/mmm, No. 123

a = 4.7890 Å, b = 4.7890 Å, c = 4.9298 Å
α = 90.00°, β = 90.00°, γ = 90.00°
Element x y z (fractional)
Ba1 0.0000 0.0000 0.0000
Sn1 0.5000 0.5000 0.5000
N1 0.0000 0.0000 0.5000
F1 0.0000 0.5000 0.0000
F2 0.5000 0.0000 0.0000